--- P ---
{"formula": "NaLi3Zn", "functional": "PBE", "state": "relaxed", "lattice": [[-3.569, -0.136, 3.534], [2.395, -3.786, 2.273], [2.602, 3.299, 2.754]], "species": ["Na", "Zn", "Li", "Li", "Li"], "frac_coords": [[0.000, 0.000, 0.000], [0.500, 0.500, 0.500], [0.000, 0.500, 0.000], [0.000, 0.000, 0.500], [0.500, 0.000, 0.000]], "space_group": "Pm-3m (221)", "magnetic_moment_mub_per_cell": 0.0}

--- Q ---
{"formula": "NaLi3Zn", "functional": "PBE", "state": "relaxed", "lattice": [[5.006, 0.000, 0.000], [0.000, 5.006, 0.000], [0.000, 0.000, 5.006]], "species": ["Na", "Zn", "Li", "Li", "Li"], "frac_coords": [[0.500, 0.500, 0.500], [0.000, 0.000, 0.000], [0.000, 0.500, 0.000], [0.000, 0.000, 0.500], [0.500, 0.000, 0.000]], "space_group": "Pm-3m (221)", "magnetic_moment_mub_per_cell": 0.0}

Which one sits at the bottom of the stability order? P does.